Entry 1:
Entry from Alexandria: a geometry-optimized CsRbZnAs structure (PBE).

Values from the calculation:
formation energy from the elements = -0.236 eV per atom
energy above the lowest structure with this stoichiometry = 45.9 meV per atom
M_tot = 0.00 μB/f.u.
E_tot = -17.37 eV/cell
N(E_F) = 4.554 states/eV per cell

Lattice parameters (Å, degrees): 4.381 5.610 13.097 90.00 90.38 90.00
Fractional positions:
Cs 0.329 0.000 0.708
Cs 0.329 0.500 0.208
As 0.334 0.000 0.415
As 0.334 0.500 0.915
Zn 0.833 0.000 0.327
Zn 0.833 0.500 0.827
Rb 0.835 0.000 0.001
Rb 0.835 0.500 0.501

Entry 2:
Entry from Alexandria: a geometry-optimized Dy2Ga2Rh structure (PBE).

Values from the calculation:
formation energy from the elements = -0.769 eV per atom
M_tot = 0.00 μB/f.u.
E_tot = -52.90 eV/cell
N(E_F) = 6.597 states/eV per cell

Lattice parameters (Å, degrees): 4.190 5.832 9.595 89.58 77.39 68.95
Fractional positions:
Dy 0.675 0.320 0.330
Dy 0.931 0.258 0.880
Dy 0.325 0.680 0.670
Dy 0.069 0.742 0.120
Ga 0.088 0.267 0.556
Ga 0.636 0.841 0.886
Ga 0.912 0.733 0.444
Ga 0.364 0.159 0.114
Rh 0.629 0.091 0.650
Rh 0.371 0.909 0.350